[1]
First-principles (PBE-GGA) data for CaZrMnSi2 after structural relaxation, as listed in Alexandria via LeMat-Bulk.

## Properties
theoretical density = 4179 kg/m3
V = 19.26 Å³/atom
formation energy without anion corrections = 0.415 eV per atom

The structure in CIF format:
```
data_CaZrMnSi2
_symmetry_space_group_name_H-M 'P 4/m m m'
_symmetry_Int_Tables_number 123
_symmetry_space_group_name_Hall '-P 4 2'
_cell_length_a 4.508
_cell_length_b 4.508
_cell_length_c 4.740
_cell_angle_alpha 90.00
_cell_angle_beta 90.00
_cell_angle_gamma 90.00
loop_
_atom_site_label
_atom_site_type_symbol
_atom_site_fract_x
_atom_site_fract_y
_atom_site_fract_z
Ca1 Ca 0.000 0.000 0.000
Zr1 Zr 0.500 0.500 0.000
Mn1 Mn 0.000 0.000 0.500
Si1 Si 0.000 0.500 0.500
```

[2]
First-principles (PBE-GGA) data for CaSm3Mn after structural relaxation, as listed in Alexandria via LeMat-Bulk.

## Properties
formation energy from the elements = 0.197 eV/atom
theoretical density = 5630 kg/m3
V = 32.22 Å³/atom

The structure in CIF format:
```
data_CaSm3Mn
_symmetry_space_group_name_H-M 'P m -3 m'
_symmetry_Int_Tables_number 221
_symmetry_space_group_name_Hall '-P 4 2 3'
_cell_length_a 5.441
_cell_length_b 5.441
_cell_length_c 5.441
_cell_angle_alpha 90.00
_cell_angle_beta 90.00
_cell_angle_gamma 90.00
loop_
_atom_site_label
_atom_site_type_symbol
_atom_site_fract_x
_atom_site_fract_y
_atom_site_fract_z
Ca1 Ca 0.000 0.000 0.000
Sm1 Sm 0.000 0.500 0.500
Mn1 Mn 0.500 0.500 0.500
```

[3]
First-principles (PBE-GGA) data for CaMnSn after structural relaxation, as listed in Alexandria via LeMat-Bulk.

## Properties
formation energy from the elements = -0.095 eV/atom
theoretical density = 5218 kg/m3
V = 22.67 Å³/atom

The structure in CIF format:
```
data_CaMnSn
_symmetry_space_group_name_H-M 'I m m 2'
_symmetry_Int_Tables_number 44
_cell_length_a 4.697
_cell_length_b 7.333
_cell_length_c 7.900
_cell_angle_alpha 90.00
_cell_angle_beta 90.00
_cell_angle_gamma 90.00
loop_
_symmetry_equiv_pos_as_xyz
'x,y,z'
'-x,-y,z'
'-x,y,z'
'x,-y,z'
'x+1/2,y+1/2,z+1/2'
'-x+1/2,-y+1/2,z+1/2'
'-x+1/2,y+1/2,z+1/2'
'x+1/2,-y+1/2,z+1/2'
loop_
_atom_site_label
_atom_site_type_symbol
_atom_site_fract_x
_atom_site_fract_y
_atom_site_fract_z
Ca1 Ca 0.000 0.000 0.000
Ca2 Ca 0.000 0.500 0.106
Mn1 Mn 0.000 0.141 0.379
Sn1 Sn 0.000 0.294 0.705
```

[4]
First-principles (PBE-GGA) data for CaMn2Sn2 after structural relaxation, as listed in Alexandria via LeMat-Bulk.

## Properties
formation energy from the elements = -0.078 eV/atom
theoretical density = 5609 kg/m3
V = 22.94 Å³/atom

The structure in CIF format:
```
data_CaMn2Sn2
_symmetry_space_group_name_H-M 'I 4/m m m'
_symmetry_Int_Tables_number 139
_symmetry_space_group_name_Hall '-I 4 2'
_cell_length_a 4.392
_cell_length_b 4.392
_cell_length_c 11.889
_cell_angle_alpha 90.00
_cell_angle_beta 90.00
_cell_angle_gamma 90.00
loop_
_atom_site_label
_atom_site_type_symbol
_atom_site_fract_x
_atom_site_fract_y
_atom_site_fract_z
Ca1 Ca 0.000 0.000 0.000
Mn1 Mn 0.000 0.500 0.250
Sn1 Sn 0.000 0.000 0.377
```

[5]
First-principles (PBE-GGA) data for CaMnSn after structural relaxation, as listed in Alexandria via LeMat-Bulk.

## Properties
formation energy from the elements = -0.225 eV/atom
theoretical density = 4743 kg/m3
V = 24.94 Å³/atom

The structure in CIF format:
```
data_CaMnSn
_symmetry_space_group_name_H-M 'I 4/m m m'
_symmetry_Int_Tables_number 139
_symmetry_space_group_name_Hall '-I 4 2'
_cell_length_a 4.409
_cell_length_b 4.409
_cell_length_c 15.394
_cell_angle_alpha 90.00
_cell_angle_beta 90.00
_cell_angle_gamma 90.00
loop_
_atom_site_label
_atom_site_type_symbol
_atom_site_fract_x
_atom_site_fract_y
_atom_site_fract_z
Ca1 Ca 0.000 0.000 0.165
Mn1 Mn 0.000 0.500 0.000
Sn1 Sn 0.000 0.000 0.385
```

[6]
First-principles (PBE-GGA) data for CaMn2Sn2 after structural relaxation, as listed in Alexandria via LeMat-Bulk.

## Properties
formation energy from the elements = 0.005 eV/atom
theoretical density = 6187 kg/m3
V = 20.79 Å³/atom

The structure in CIF format:
```
data_CaMn2Sn2
_symmetry_space_group_name_H-M 'P 4/m b m'
_symmetry_Int_Tables_number 127
_symmetry_space_group_name_Hall '-P 4 2ab'
_cell_length_a 8.072
_cell_length_b 8.072
_cell_length_c 3.191
_cell_angle_alpha 90.00
_cell_angle_beta 90.00
_cell_angle_gamma 90.00
loop_
_atom_site_label
_atom_site_type_symbol
_atom_site_fract_x
_atom_site_fract_y
_atom_site_fract_z
Ca1 Ca 0.000 0.000 0.000
Mn1 Mn 0.115 0.385 0.000
Sn1 Sn 0.173 0.673 0.500
```

[7]
First-principles (PBE-GGA) data for CaMnSn after structural relaxation, as listed in Alexandria via LeMat-Bulk.

## Properties
formation energy from the elements = -0.119 eV/atom
theoretical density = 4866 kg/m3
V = 24.31 Å³/atom

The structure in CIF format:
```
data_CaMnSn
_symmetry_space_group_name_H-M 'I m m 2'
_symmetry_Int_Tables_number 44
_cell_length_a 3.676
_cell_length_b 4.411
_cell_length_c 17.992
_cell_angle_alpha 90.00
_cell_angle_beta 90.00
_cell_angle_gamma 90.00
loop_
_symmetry_equiv_pos_as_xyz
'x,y,z'
'-x,-y,z'
'-x,y,z'
'x,-y,z'
'x+1/2,y+1/2,z+1/2'
'-x+1/2,-y+1/2,z+1/2'
'-x+1/2,y+1/2,z+1/2'
'x+1/2,-y+1/2,z+1/2'
loop_
_atom_site_label
_atom_site_type_symbol
_atom_site_fract_x
_atom_site_fract_y
_atom_site_fract_z
Ca1 Ca 0.000 0.000 0.000
Ca2 Ca 0.000 0.000 0.198
Mn1 Mn 0.000 0.000 0.760
Mn2 Mn 0.000 0.500 0.341
Sn1 Sn 0.000 0.000 0.605
Sn2 Sn 0.000 0.500 0.856
```

[8]
First-principles (PBE-GGA) data for SrCaMn after structural relaxation, as listed in Alexandria via LeMat-Bulk.

## Properties
formation energy from the elements = 0.386 eV/atom
theoretical density = 3000 kg/m3
V = 33.70 Å³/atom

The structure in CIF format:
```
data_SrCaMn
_symmetry_space_group_name_H-M 'I 4 m m'
_symmetry_Int_Tables_number 107
_symmetry_space_group_name_Hall 'I 4 -2'
_cell_length_a 3.865
_cell_length_b 3.865
_cell_length_c 13.532
_cell_angle_alpha 90.00
_cell_angle_beta 90.00
_cell_angle_gamma 90.00
loop_
_atom_site_label
_atom_site_type_symbol
_atom_site_fract_x
_atom_site_fract_y
_atom_site_fract_z
Sr1 Sr 0.000 0.000 0.000
Ca1 Ca 0.000 0.000 0.274
Mn1 Mn 0.000 0.000 0.648
```

[9]
First-principles (PBE-GGA) data for SrCa2Mn after structural relaxation, as listed in Alexandria via LeMat-Bulk.

## Properties
formation energy from the elements = 0.410 eV/atom
theoretical density = 2584 kg/m3
V = 35.77 Å³/atom

The structure in CIF format:
```
data_SrCa2Mn
_symmetry_space_group_name_H-M 'I 4/m m m'
_symmetry_Int_Tables_number 139
_symmetry_space_group_name_Hall '-I 4 2'
_cell_length_a 5.193
_cell_length_b 5.193
_cell_length_c 10.613
_cell_angle_alpha 90.00
_cell_angle_beta 90.00
_cell_angle_gamma 90.00
loop_
_atom_site_label
_atom_site_type_symbol
_atom_site_fract_x
_atom_site_fract_y
_atom_site_fract_z
Sr1 Sr 0.000 0.000 0.000
Ca1 Ca 0.000 0.500 0.250
Mn1 Mn 0.000 0.000 0.500
```

[10]
First-principles (PBE-GGA) data for SrCaMn after structural relaxation, as listed in Alexandria via LeMat-Bulk.

## Properties
formation energy from the elements = 0.539 eV/atom
theoretical density = 2849 kg/m3
V = 35.48 Å³/atom

The structure in CIF format:
```
data_SrCaMn
_symmetry_space_group_name_H-M 'P 3 m 1'
_symmetry_Int_Tables_number 156
_cell_length_a 3.9238
_cell_length_b 3.9238
_cell_length_c 7.9828
_cell_angle_alpha 90.00
_cell_angle_beta 90.00
_cell_angle_gamma 120.00
loop_
_symmetry_equiv_pos_as_xyz
'x,y,z'
'-y,x-y,z'
'-x+y,-x,z'
'-y,-x,z'
'-x+y,y,z'
'x,x-y,z'
loop_
_atom_site_label
_atom_site_type_symbol
_atom_site_fract_x
_atom_site_fract_y
_atom_site_fract_z
Sr1 Sr 0.0000 0.0000 0.0000
Ca1 Ca 0.6667 0.3333 0.4405
Mn1 Mn 0.3333 0.6667 0.7091
```

[11]
First-principles (PBE-GGA) data for Sr2CaMn after structural relaxation, as listed in Alexandria via LeMat-Bulk.

## Properties
formation energy from the elements = 0.417 eV/atom
theoretical density = 2785 kg/m3
V = 40.29 Å³/atom

The structure in CIF format:
```
data_Sr2CaMn
_symmetry_space_group_name_H-M 'R 3 m'
_symmetry_Int_Tables_number 160
_symmetry_space_group_name_Hall 'R 3 -2"'
_cell_length_a 4.0408
_cell_length_b 4.0408
_cell_length_c 34.1882
_cell_angle_alpha 90.00
_cell_angle_beta 90.00
_cell_angle_gamma 120.00
loop_
_atom_site_label
_atom_site_type_symbol
_atom_site_fract_x
_atom_site_fract_y
_atom_site_fract_z
Sr1 Sr 0.0000 0.0000 0.0000
Sr2 Sr 0.0000 0.0000 0.2264
Ca1 Ca 0.0000 0.0000 0.4602
Mn1 Mn 0.0000 0.0000 0.7327
```

[12]
First-principles (PBE-GGA) data for Sr2CaMn after structural relaxation, as listed in Alexandria via LeMat-Bulk.

## Properties
formation energy from the elements = 0.395 eV/atom
theoretical density = 2905 kg/m3
V = 38.61 Å³/atom

The structure in CIF format:
```
data_Sr2CaMn
_symmetry_space_group_name_H-M 'C 1 2/m 1'
_symmetry_Int_Tables_number 12
_cell_length_a 13.818
_cell_length_b 4.086
_cell_length_c 6.090
_cell_angle_alpha 90.00
_cell_angle_beta 116.05
_cell_angle_gamma 90.00
loop_
_symmetry_equiv_pos_as_xyz
'x,y,z'
'-x,-y,-z'
'-x,y,-z'
'x,-y,z'
'x+1/2,y+1/2,z'
'-x+1/2,-y+1/2,-z'
'-x+1/2,y+1/2,-z'
'x+1/2,-y+1/2,z'
loop_
_atom_site_label
_atom_site_type_symbol
_atom_site_fract_x
_atom_site_fract_y
_atom_site_fract_z
Sr1 Sr 0.205 0.000 0.205
Ca1 Ca 0.000 0.000 0.500
Mn1 Mn 0.000 0.500 0.000
```

Question: Number 12 is which compound?
Answer: Sr2CaMn